--- i ---
Computed, not measured: a geometry-optimized Ag3SnW structure at the PBE-GGA level of DFT.

a b c (Å): 5.106 5.106 5.106
angles (deg): 90.00 90.00 90.00
Space group Pm-3m (No. 221)
Unique sites:
Ag1 0.000 0.000 0.500 (multiplicity 3)
Sn1 0.000 0.000 0.000 (multiplicity 1)
W1 0.500 0.500 0.500 (multiplicity 1)

Output
For the total magnetic moment, the calculation gives 4.5 μB per formula unit.

---

--- ii ---
Computed, not measured: a geometry-optimized Ag3SnW structure at the PBE-GGA level of DFT.

a b c (Å): 5.108 5.108 5.108
angles (deg): 90.00 90.00 90.00
Space group Pm-3m (No. 221)
Unique sites:
Ag1 0.000 0.000 0.500 (multiplicity 3)
Sn1 0.500 0.500 0.500 (multiplicity 1)
W1 0.000 0.000 0.000 (multiplicity 1)

Output
For the total magnetic moment, the calculation gives 0.0 μB per formula unit.

---

Stability check: which of them is least stable? i.